1.
The following is a DFT calculation (GGA-PBE) of an optimized crystal structure of In4Sn2Pb.

## Properties
The crystal system is orthorhombic. The formation energy is 47 kJ/mol of formula units. The value obtained for the energy above the lowest structure with this stoichiometry is 54 meV/atom. The calculation puts the calculated density at 7.16 g cm⁻³. For the total energy, the calculation gives -3.169 eV/atom. For the volume, the calculation gives 29.96 Å³ per atom.

abc: 4.4715 17.8523 10.5088
angles: 90.00 90.00 90.00
Closest atoms and distances in Å follow each position.
Space group Cmcm (No. 63)
Symmetry-distinct sites (fractional):
In 0.0000 0.0000 0.0000 [4 per cell]  4 Sn 3.13, 4 In 3.47, 2 Pb 3.51
In 0.0000 0.2152 0.1105 [8 per cell]  1 In 2.93, 3 Sn 3.05-3.08
In 0.0000 0.4791 0.7500 [4 per cell]  4 Sn 3.27-3.61, 4 In 3.47, 2 Pb 3.50
Sn 0.0000 0.3770 0.0086 [8 per cell]  6 In 3.05-3.27, 2 Pb 3.38
Pb 0.0000 0.1302 0.7500 [4 per cell]  4 Sn 3.38, 4 In 3.50-3.51

2.
The following is a DFT calculation (GGA-PBE) of an optimized crystal structure of In3Sn3Pb5.

## Properties
The crystal system is hexagonal. The formation energy is 145 kJ/mol of formula units. The calculation puts the calculated density at 8.42 g cm⁻³. For the total energy, the calculation gives -3.388 eV/atom. For the volume, the calculation gives 31.12 Å³ per atom.

abc: 10.6996 10.6996 3.4527
angles: 90.00 90.00 120.00
Closest atoms and distances in Å follow each position.
Space group P-62m (No. 189)
Symmetry-distinct sites (fractional):
In 0.0000 0.1662 0.0000 [3 per cell]  2 In 3.08, 2 Sn 3.09, 2 Pb 3.17
Sn 0.0000 0.4059 0.5000 [3 per cell]  2 In 3.09, 2 Pb 3.21, 2 Sn 3.45
Pb 0.0000 0.6584 0.0000 [3 per cell]  2 In 3.17, 2 Sn 3.21, 4 Pb 3.45-3.52
Pb 0.3333 0.6667 0.0000 [2 per cell]  5 Pb 3.45-3.52, 6 Sn 3.68

3.
The following is a DFT calculation (GGA-PBE) of an optimized crystal structure of InSn4Pb.

## Properties
The crystal system is cubic. The formation energy is 56 kJ/mol of formula units. The value obtained for the energy above the lowest structure with this stoichiometry is 53 meV/atom. The calculation puts the calculated density at 7.42 g cm⁻³. For the total energy, the calculation gives -3.646 eV/atom. For the volume, the calculation gives 29.71 Å³ per atom.

abc: 8.9342 8.9342 8.9342
angles: 90.00 90.00 90.00
Closest atoms and distances in Å follow each position.
Space group F-43m (No. 216)
Symmetry-distinct sites (fractional):
In 0.0000 0.0000 0.0000 [4 per cell]  12 Sn 3.70, 4 Pb 3.87
Sn 0.1253 0.1253 0.3747 [16 per cell]  6 Sn 3.15-3.17
Pb 0.2500 0.2500 0.7500 [4 per cell]  12 Sn 3.70, 4 In 3.87

4.
The following is a DFT calculation (GGA-PBE) of an optimized crystal structure of In5Sn5Pb2.

## Properties
The crystal system is monoclinic. The formation energy is 42 kJ/mol of formula units. The calculation puts the calculated density at 7.73 g cm⁻³. For the total energy, the calculation gives -3.391 eV/atom. For the volume, the calculation gives 28.32 Å³ per atom.

abc: 17.5932 3.4828 11.2238
angles: 90.00 98.80 90.00
Closest atoms and distances in Å follow each position.
Space group C2/m (No. 12)
Symmetry-distinct sites (fractional):
In 0.0000 0.0000 0.0000 [2 per cell]  2 Pb 3.32, 8 Sn 3.44, 2 In 3.48
In 0.1666 0.0000 0.4972 [4 per cell]  7 In 3.29-3.48, 4 Sn 3.40-3.41, 1 Pb 3.42
In 0.2494 0.0000 0.2534 [4 per cell]  5 In 3.29-3.48, 5 Sn 3.35-3.43, 2 Pb 3.43
Sn 0.0000 0.5000 0.5000 [2 per cell]  4 Sn 3.40-3.48, 4 In 3.41, 4 Pb 3.46
Sn 0.0864 0.5000 0.2490 [4 per cell]  4 Sn 3.29-3.48, 6 In 3.35-3.44, 2 Pb 3.45
Sn 0.1694 0.5000 0.0058 [4 per cell]  5 Sn 3.29-3.48, 5 In 3.40-3.44, 2 Pb 3.47
Pb 0.0831 0.0000 0.7532 [4 per cell]  4 In 3.32-3.43, 6 Sn 3.45-3.47, 2 Pb 3.48

5.
The following is a DFT calculation (GGA-PBE) of an optimized crystal structure of InSnPb4.

## Properties
The crystal system is monoclinic. The formation energy is 31 kJ/mol of formula units. The value obtained for the energy above the lowest structure with this stoichiometry is 41 meV/atom. The calculation puts the calculated density at 9.70 g cm⁻³. For the total energy, the calculation gives -3.541 eV/atom. For the volume, the calculation gives 30.31 Å³ per atom.

abc: 5.6621 6.6690 9.6388
angles: 90.00 92.27 90.00
Closest atoms and distances in Å follow each position.
Space group P2_1/m (No. 11)
Symmetry-distinct sites (fractional):
In 0.2303 0.2500 0.4116 [2 per cell]  1 Sn 3.13, 4 Pb 3.20-3.34
Sn 0.2628 0.2500 0.0887 [2 per cell]  1 In 3.13, 4 Pb 3.26-3.34
Pb 0.2471 0.7500 0.0805 [2 per cell]  4 Sn 3.26-3.34, 5 Pb 3.33-3.61
Pb 0.2492 0.0013 0.7558 [4 per cell]  6 Pb 3.32-3.67, 2 Sn 3.52-3.61, 2 In 3.53-3.71
Pb 0.2645 0.7500 0.4266 [2 per cell]  4 In 3.20-3.34, 1 Pb 3.33

6.
The following is a DFT calculation (GGA-PBE) of an optimized crystal structure of In7Sn5Pb.

## Properties
The crystal system is monoclinic. The formation energy is 68 kJ/mol of formula units. The calculation puts the calculated density at 7.19 g cm⁻³. For the total energy, the calculation gives -3.245 eV/atom. For the volume, the calculation gives 28.50 Å³ per atom.

abc: 13.1907 10.8858 5.7087
angles: 90.00 115.32 90.00
Closest atoms and distances in Å follow each position.
Space group Cm (No. 8)
Symmetry-distinct sites (fractional):
In 0.0000 0.0000 0.0000 [2 per cell]  5 In 3.08-3.38, 3 Sn 3.15-3.39
In 0.0854 0.2919 0.0018 [4 per cell]  3 In 3.13-3.37, 2 Sn 3.16-3.26
In 0.1249 0.1397 0.5831 [4 per cell]  3 In 3.04-3.38, 2 Sn 3.08-3.13
In 0.2565 0.0000 0.1896 [2 per cell]  3 In 3.08-3.40, 2 Sn 3.15
In 0.3919 0.0000 0.7996 [2 per cell]  6 In 3.16-3.54, 2 Sn 3.54
Sn 0.2676 0.5000 0.1124 [2 per cell]  3 In 3.16-3.39, 4 Sn 3.22-3.33, 1 Pb 3.30
Sn 0.3079 0.3264 0.6260 [4 per cell]  2 In 3.08-3.15, 3 Sn 3.14-3.33, 1 Pb 3.28
Sn 0.3954 0.2401 0.2203 [4 per cell]  3 In 3.13-3.26, 3 Sn 3.14-3.22, 1 Pb 3.51
Pb 0.0869 0.5000 0.4957 [2 per cell]  5 Sn 3.28-3.51, 3 In 3.61-3.67

Which formula does entry 1 have?
In4Sn2Pb

Repeat the third record exactly.
The following is a DFT calculation (GGA-PBE) of an optimized crystal structure of InSn4Pb.

## Properties
The crystal system is cubic. The formation energy is 56 kJ/mol of formula units. The value obtained for the energy above the lowest structure with this stoichiometry is 53 meV/atom. The calculation puts the calculated density at 7.42 g cm⁻³. For the total energy, the calculation gives -3.646 eV/atom. For the volume, the calculation gives 29.71 Å³ per atom.

abc: 8.9342 8.9342 8.9342
angles: 90.00 90.00 90.00
Closest atoms and distances in Å follow each position.
Space group F-43m (No. 216)
Symmetry-distinct sites (fractional):
In 0.0000 0.0000 0.0000 [4 per cell]  12 Sn 3.70, 4 Pb 3.87
Sn 0.1253 0.1253 0.3747 [16 per cell]  6 Sn 3.15-3.17
Pb 0.2500 0.2500 0.7500 [4 per cell]  12 Sn 3.70, 4 In 3.87

What did the fourth record say?
The following is a DFT calculation (GGA-PBE) of an optimized crystal structure of In5Sn5Pb2.

## Properties
The crystal system is monoclinic. The formation energy is 42 kJ/mol of formula units. The calculation puts the calculated density at 7.73 g cm⁻³. For the total energy, the calculation gives -3.391 eV/atom. For the volume, the calculation gives 28.32 Å³ per atom.

abc: 17.5932 3.4828 11.2238
angles: 90.00 98.80 90.00
Closest atoms and distances in Å follow each position.
Space group C2/m (No. 12)
Symmetry-distinct sites (fractional):
In 0.0000 0.0000 0.0000 [2 per cell]  2 Pb 3.32, 8 Sn 3.44, 2 In 3.48
In 0.1666 0.0000 0.4972 [4 per cell]  7 In 3.29-3.48, 4 Sn 3.40-3.41, 1 Pb 3.42
In 0.2494 0.0000 0.2534 [4 per cell]  5 In 3.29-3.48, 5 Sn 3.35-3.43, 2 Pb 3.43
Sn 0.0000 0.5000 0.5000 [2 per cell]  4 Sn 3.40-3.48, 4 In 3.41, 4 Pb 3.46
Sn 0.0864 0.5000 0.2490 [4 per cell]  4 Sn 3.29-3.48, 6 In 3.35-3.44, 2 Pb 3.45
Sn 0.1694 0.5000 0.0058 [4 per cell]  5 Sn 3.29-3.48, 5 In 3.40-3.44, 2 Pb 3.47
Pb 0.0831 0.0000 0.7532 [4 per cell]  4 In 3.32-3.43, 6 Sn 3.45-3.47, 2 Pb 3.48